# Bi2MoO5 | the Alexandria database | PBE+U | relaxed
data_Bi2MoO5
_cell_length_a 3.8338
_cell_length_b 7.8340
_cell_length_c 16.2578
_cell_angle_alpha 90.00
_cell_angle_beta 90.00
_cell_angle_gamma 90.00
_space_group_name_H-M_alt 'P 1'
_space_group_IT_number 1
loop_
_space_group_symop_operation_xyz
'x,y,z'
loop_
_atom_site_label
_atom_site_type_symbol
_atom_site_fract_x
_atom_site_fract_y
_atom_site_fract_z
_atom_site_occupancy
O1 O 0.2500 0.3289 0.5045 1
O2 O 0.7500 0.5764 0.6721 1
O3 O 0.7500 0.1711 0.0045 1
O4 O 0.2500 0.7441 0.8217 1
O5 O 0.7500 0.1152 0.3568 1
O6 O 0.7500 0.0764 0.8279 1
O7 O 0.2500 0.9164 0.4625 1
O8 O 0.2500 0.9236 0.1721 1
O9 O 0.2500 0.4164 0.0375 1
O10 O 0.7500 0.2559 0.1783 1
O11 O 0.7500 0.0836 0.5375 1
O12 O 0.7500 0.6152 0.1432 1
O13 O 0.7500 0.7559 0.3217 1
O14 O 0.2500 0.4236 0.3279 1
O15 O 0.2500 0.8848 0.6432 1
O16 O 0.2500 0.2441 0.6783 1
O17 O 0.2500 0.3848 0.8568 1
O18 O 0.2500 0.8289 0.9955 1
O19 O 0.7500 0.6711 0.4955 1
O20 O 0.7500 0.5836 0.9625 1
Bi1 Bi 0.2500 0.6155 0.5808 1
Bi2 Bi 0.2500 0.1155 0.9192 1
Bi3 Bi 0.7500 0.8316 0.7499 1
Bi4 Bi 0.2500 0.6684 0.2499 1
Bi5 Bi 0.7500 0.8845 0.0808 1
Bi6 Bi 0.2500 0.1684 0.2501 1
Bi7 Bi 0.7500 0.3845 0.4192 1
Bi8 Bi 0.7500 0.3316 0.7501 1
Mo1 Mo 0.2500 0.0967 0.5713 1
Mo2 Mo 0.7500 0.9033 0.4287 1
Mo3 Mo 0.2500 0.5967 0.9287 1
Mo4 Mo 0.7500 0.4033 0.0713 1
# Crystal system = orthorhombic
# Magnetization = 2.0 μB/f.u.
# Energy = -50.5 eV/f.u.